(1)
Density functional theory data (PBE) for a relaxed NaLi5Mg2 crystal. Values from VASP.

Cell and atoms, written as Quantum ESPRESSO input:
```
&SYSTEM
  ibrav = 0, nat = 8, ntyp = 3
/
ATOMIC_SPECIES
Li 6.94 Li.upf
Mg 24.30 Mg.upf
Na 22.99 Na.upf
ATOMIC_POSITIONS crystal
Li 0.868 0.368 0.735
Li 0.500 0.500 0.000
Li 0.368 0.868 0.735
Li 0.132 0.632 0.265
Li 0.632 0.132 0.265
Mg 0.746 0.746 0.493
Mg 0.254 0.254 0.507
Na 0.000 0.000 0.000
CELL_PARAMETERS angstrom
-1.457 4.318 1.606
-2.585 0.628 -4.034
-3.959 -5.727 4.539
```

Values from the calculation:
Energy relative to the elements: 0.000 eV per atom

=====

(2)
Density functional theory data (PBE) for a relaxed NaLi10Mg2 crystal. Values from VASP.

Cell and atoms, written as Quantum ESPRESSO input:
```
&SYSTEM
  ibrav = 0, nat = 13, ntyp = 3
/
ATOMIC_SPECIES
Mg 24.30 Mg.upf
Li 6.94 Li.upf
Na 22.99 Na.upf
ATOMIC_POSITIONS crystal
Mg 0.500 0.500 0.000
Mg 0.000 0.500 0.000
Li 0.000 0.643 0.357
Li 0.000 0.357 0.643
Li 0.284 0.215 0.217
Li 0.500 0.000 0.500
Li 0.000 0.000 0.500
Li 0.499 0.785 0.217
Li 0.643 0.357 0.357
Li 0.357 0.643 0.643
Li 0.716 0.785 0.783
Li 0.501 0.215 0.783
Na 0.000 0.000 0.000
CELL_PARAMETERS angstrom
-5.528 0.673 1.985
-5.192 0.137 -5.699
-3.455 -6.700 1.454
```

Values from the calculation:
Energy relative to the elements: 0.039 eV per atom

=====

(3)
Density functional theory data (PBE) for a relaxed Na2Li15Mg2 crystal. Values from VASP.

Cell and atoms, written as Quantum ESPRESSO input:
```
&SYSTEM
  ibrav = 0, nat = 19, ntyp = 3
/
ATOMIC_SPECIES
Li 6.94 Li.upf
Mg 24.30 Mg.upf
Na 22.99 Na.upf
ATOMIC_POSITIONS crystal
Li 0.355 0.355 0.866
Li 0.134 0.645 0.645
Li 0.866 0.355 0.355
Li 0.279 0.000 0.721
Li 0.721 0.279 0.000
Li 0.000 0.279 0.721
Li 0.355 0.866 0.355
Li 0.000 0.500 0.000
Li 0.000 0.721 0.279
Li 0.721 0.000 0.279
Li 0.645 0.645 0.134
Li 0.000 0.000 0.500
Li 0.500 0.000 0.000
Li 0.645 0.134 0.645
Li 0.279 0.721 0.000
Mg 0.103 0.103 0.103
Mg 0.897 0.897 0.897
Na 0.656 0.656 0.656
Na 0.344 0.344 0.344
CELL_PARAMETERS angstrom
7.510 -0.394 1.289
1.020 7.451 1.289
-0.476 -0.394 7.605
```

Values from the calculation:
Energy relative to the elements: 0.041 eV per atom

=====

(4)
Density functional theory data (PBE) for a relaxed NaLi5Mg4 crystal. Values from VASP.

Cell and atoms, written as Quantum ESPRESSO input:
```
&SYSTEM
  ibrav = 0, nat = 10, ntyp = 3
/
ATOMIC_SPECIES
Mg 24.30 Mg.upf
Li 6.94 Li.upf
Na 22.99 Na.upf
ATOMIC_POSITIONS crystal
Mg 0.000 0.000 0.223
Mg 0.000 0.000 0.593
Mg 0.000 0.000 0.777
Mg 0.000 0.000 0.407
Li 0.500 0.500 0.128
Li 0.500 0.500 0.686
Li 0.500 0.500 0.500
Li 0.500 0.500 0.872
Li 0.500 0.500 0.314
Na 0.000 0.000 0.000
CELL_PARAMETERS angstrom
3.492 0.000 0.000
0.000 3.492 0.000
0.000 0.000 17.880
```

Values from the calculation:
Energy relative to the elements: -0.033 eV per atom

=====

(5)
Density functional theory data (PBE) for a relaxed NaLi2Mg2 crystal. Values from VASP.

Cell and atoms, written as Quantum ESPRESSO input:
```
&SYSTEM
  ibrav = 0, nat = 10, ntyp = 3
/
ATOMIC_SPECIES
Li 6.94 Li.upf
Na 22.99 Na.upf
Mg 24.30 Mg.upf
ATOMIC_POSITIONS crystal
Li 0.364 0.864 0.000
Li 0.136 0.364 0.000
Li 0.864 0.636 0.000
Li 0.636 0.136 0.000
Na 0.000 0.000 0.000
Na 0.500 0.500 0.000
Mg 0.657 0.843 0.500
Mg 0.343 0.157 0.500
Mg 0.157 0.657 0.500
Mg 0.843 0.343 0.500
CELL_PARAMETERS angstrom
8.474 0.000 0.000
0.000 8.474 0.000
0.000 0.000 3.298
```

Values from the calculation:
Distance to the lowest polymorph of the same formula: 0.000 eV/atom
Energy relative to the elements: 0.031 eV per atom

=====

(6)
Density functional theory data (PBE) for a relaxed Na2Li6Mg crystal. Values from VASP.

Cell and atoms, written as Quantum ESPRESSO input:
```
&SYSTEM
  ibrav = 0, nat = 9, ntyp = 3
/
ATOMIC_SPECIES
Li 6.94 Li.upf
Na 22.99 Na.upf
Mg 24.30 Mg.upf
ATOMIC_POSITIONS crystal
Li 0.500 0.680 0.320
Li 0.500 0.320 0.680
Li 0.499 0.680 0.000
Li 0.499 0.000 0.680
Li 0.501 0.000 0.320
Li 0.501 0.320 0.000
Na 0.000 0.333 0.333
Na 0.000 0.667 0.667
Mg 0.000 0.000 0.000
CELL_PARAMETERS angstrom
-0.749 2.932 -0.622
2.465 2.369 8.208
8.391 2.477 1.586
```

Values from the calculation:
Energy relative to the elements: 0.042 eV per atom

=====

(7)
Density functional theory data (PBE) for a relaxed NaLi12Mg3 crystal. Values from VASP.

Cell and atoms, written as Quantum ESPRESSO input:
```
&SYSTEM
  ibrav = 0, nat = 16, ntyp = 3
/
ATOMIC_SPECIES
Li 6.94 Li.upf
Mg 24.30 Mg.upf
Na 22.99 Na.upf
ATOMIC_POSITIONS crystal
Li 0.500 0.500 0.000
Li 0.500 0.000 0.621
Li 0.000 0.500 0.137
Li 0.500 0.000 0.379
Li 0.000 0.500 0.863
Li 0.500 0.500 0.744
Li 0.500 0.500 0.500
Li 0.500 0.000 0.137
Li 0.500 0.000 0.863
Li 0.000 0.500 0.621
Li 0.000 0.500 0.379
Li 0.500 0.500 0.256
Mg 0.000 0.000 0.742
Mg 0.000 0.000 0.500
Mg 0.000 0.000 0.258
Na 0.000 0.000 0.000
CELL_PARAMETERS angstrom
-0.975 3.400 2.285
-3.788 0.146 -1.834
-7.034 -11.179 13.635
```

Values from the calculation:
Energy relative to the elements: -0.002 eV per atom

=====

(8)
Density functional theory data (PBE) for a relaxed Na3LiMg crystal. Values from VASP.

Cell and atoms, written as Quantum ESPRESSO input:
```
&SYSTEM
  ibrav = 0, nat = 5, ntyp = 3
/
ATOMIC_SPECIES
Na 22.99 Na.upf
Li 6.94 Li.upf
Mg 24.30 Mg.upf
ATOMIC_POSITIONS crystal
Na 0.500 0.000 0.000
Na 0.000 0.000 0.500
Na 0.000 0.500 0.000
Li 0.500 0.500 0.500
Mg 0.000 0.000 0.000
CELL_PARAMETERS angstrom
-4.597 -2.101 -3.170
3.309 -4.662 -1.707
-1.876 -3.073 4.757
```

Values from the calculation:
Distance to the lowest polymorph of the same formula: 0.035 eV/atom
Energy relative to the elements: 0.366 eV per atom

=====

(9)
Density functional theory data (PBE) for a relaxed NaLiMg2 crystal. Values from VASP.

Cell and atoms, written as Quantum ESPRESSO input:
```
&SYSTEM
  ibrav = 0, nat = 4, ntyp = 3
/
ATOMIC_SPECIES
Na 22.99 Na.upf
Li 6.94 Li.upf
Mg 24.30 Mg.upf
ATOMIC_POSITIONS crystal
Na 0.500 0.500 0.500
Li 0.000 0.000 0.000
Mg 0.250 0.250 0.250
Mg 0.750 0.750 0.750
CELL_PARAMETERS angstrom
0.000 3.658 3.658
3.658 0.000 3.658
3.658 3.658 0.000
```

Values from the calculation:
Distance to the lowest polymorph of the same formula: 0.046 eV/atom
Energy relative to the elements: 0.089 eV per atom

=====

(10)
Density functional theory data (PBE) for a relaxed NaLi6Mg2 crystal. Values from VASP.

Cell and atoms, written as Quantum ESPRESSO input:
```
&SYSTEM
  ibrav = 0, nat = 9, ntyp = 3
/
ATOMIC_SPECIES
Li 6.94 Li.upf
Mg 24.30 Mg.upf
Na 22.99 Na.upf
ATOMIC_POSITIONS crystal
Li 0.000 0.160 0.840
Li 0.173 0.148 0.505
Li 0.173 0.505 0.148
Li 0.827 0.852 0.495
Li 0.000 0.840 0.160
Li 0.827 0.495 0.852
Mg 0.345 0.155 0.155
Mg 0.655 0.845 0.845
Na 0.500 0.500 0.500
CELL_PARAMETERS angstrom
-0.984 2.839 0.078
-8.035 -1.293 3.614
-1.411 0.863 8.750
```

Values from the calculation:
Distance to the lowest polymorph of the same formula: 0.000 eV/atom
Energy relative to the elements: 0.018 eV per atom

=====

(11)
Density functional theory data (PBE) for a relaxed NaLiMg2 crystal. Values from VASP.

Cell and atoms, written as Quantum ESPRESSO input:
```
&SYSTEM
  ibrav = 0, nat = 8, ntyp = 3
/
ATOMIC_SPECIES
Na 22.99 Na.upf
Mg 24.30 Mg.upf
Li 6.94 Li.upf
ATOMIC_POSITIONS crystal
Na 0.750 0.250 0.500
Na 0.000 0.000 0.000
Mg 0.875 0.866 0.750
Mg 0.616 0.125 0.250
Mg 0.134 0.625 0.250
Mg 0.375 0.384 0.750
Li 0.250 0.750 0.500
Li 0.500 0.500 0.000
CELL_PARAMETERS angstrom
4.360 0.000 0.000
0.000 4.360 0.000
2.180 2.180 11.224
```

Values from the calculation:
Distance to the lowest polymorph of the same formula: 0.159 eV/atom
Energy relative to the elements: 0.202 eV per atom

=====

(12)
Density functional theory data (PBE) for a relaxed NaLi3Mg crystal. Values from VASP.

Cell and atoms, written as Quantum ESPRESSO input:
```
&SYSTEM
  ibrav = 0, nat = 5, ntyp = 3
/
ATOMIC_SPECIES
Mg 24.30 Mg.upf
Li 6.94 Li.upf
Na 22.99 Na.upf
ATOMIC_POSITIONS crystal
Mg 0.000 0.000 0.000
Li 0.500 0.000 0.000
Li 0.000 0.000 0.500
Li 0.000 0.500 0.000
Na 0.500 0.500 0.500
CELL_PARAMETERS angstrom
5.345 0.000 0.000
0.000 5.345 0.000
0.000 0.000 5.345
```

Values from the calculation:
Distance to the lowest polymorph of the same formula: 0.210 eV/atom
Energy relative to the elements: 0.303 eV per atom